*1*
A plane-wave DFT calculation with PBE with a Hubbard U was carried out for an optimized crystal structure of VAgTeO5.

Cell and atoms, written as CIF:
```
data_VAgTeO5
_space_group_name_H-M_alt 'P 1 21/c 1'
_space_group_IT_number 14
_space_group_name_Hall '-P 2ybc'
_cell_length_a 5.794
_cell_length_b 12.128
_cell_length_c 6.905
_cell_angle_alpha 90.00
_cell_angle_beta 101.69
_cell_angle_gamma 90.00
loop_
_atom_site_label
_atom_site_type_symbol
_atom_site_fract_x
_atom_site_fract_y
_atom_site_fract_z
V1 V 0.169 0.125 0.416
Ag1 Ag 0.316 0.728 0.801
Te1 Te 0.254 0.056 0.899
O1 O 0.058 0.692 0.018
O2 O 0.062 0.030 0.217
O3 O 0.332 0.052 0.637
O4 O 0.350 0.218 0.338
O5 O 0.383 0.588 0.481
```

***

*2*
A plane-wave DFT calculation with PBE with a Hubbard U was carried out for an optimized crystal structure of VAgTeO5.

Cell and atoms, written as CIF:
```
data_VAgTeO5
_space_group_name_H-M_alt 'C 1 2/c 1'
_space_group_IT_number 15
_space_group_name_Hall '-C 2yc'
_cell_length_a 7.673
_cell_length_b 9.083
_cell_length_c 7.947
_cell_angle_alpha 90.00
_cell_angle_beta 115.47
_cell_angle_gamma 90.00
loop_
_atom_site_label
_atom_site_type_symbol
_atom_site_fract_x
_atom_site_fract_y
_atom_site_fract_z
V1 V 0.000 0.162 0.250
Ag1 Ag 0.000 0.175 0.750
Te1 Te 0.000 0.500 0.000
O1 O 0.000 0.421 0.750
O2 O 0.075 0.278 0.118
O3 O 0.192 0.049 0.397
```

***

*1* comes first in stability; the runner-up is 5.8 kJ/mol of atoms higher.